{"formula": "LiPb2Au", "functional": "PBE", "state": "optimized geometry", "final_energy_ev_per_atom": -3.36, "relative_energy_kj_per_mol_atoms": 0.00, "sg": "No. 99", "magmom_total_mub_per_cell": 0.0, "delta_e_f_ev_per_fu": -0.84, "lattice_angstrom": [[-3.049, 1.483, -0.513], [-1.284, -3.002, -1.046], [-2.079, -1.701, 7.436]], "species": ["Pb", "Pb", "Au", "Li"], "fractional_positions": [[0.000, 0.000, 0.953], [0.500, 0.500, 0.291], [0.000, 0.000, 0.555], [0.500, 0.500, 0.701]]}